{
  "formula": "Rb2PtF6",
  "functional": "PBEsol",
  "state": "relaxed",
  "cell": [[-4.310, -2.030, -0.349], [0.537, -0.125, -5.897], [1.894, -4.580, 3.243]],
  "species": ["Rb", "Rb", "Pt", "F", "F", "F", "F", "F", "F"],
  "fractional_positions": [[0.286, 0.667, 0.333], [0.714, 0.333, 0.667], [0.000, 0.000, 0.000], [0.221, 0.160, 0.840], [0.221, 0.680, 0.840], [0.221, 0.160, 0.320], [0.779, 0.840, 0.160], [0.779, 0.320, 0.160], [0.779, 0.840, 0.680]],
  "raw_formation_energy_ev_per_atom": -2.170,
  "final_energy_ev_per_atom": -4.456
}